# LiHfTe2, relaxed, DFT PBEsol
data_LiHfTe2
_cell_length_a 7.098
_cell_length_b 7.098
_cell_length_c 7.098
_cell_angle_alpha 90.00
_cell_angle_beta 90.00
_cell_angle_gamma 90.00
_symmetry_space_group_name_H-M 'F m -3 m'
_symmetry_Int_Tables_number 225
_symmetry_space_group_name_Hall '-F 4 2 3'
loop_
_atom_site_label
_atom_site_type_symbol
_atom_site_fract_x
_atom_site_fract_y
_atom_site_fract_z
Li1 Li 0.000 0.000 0.000
Hf1 Hf 0.000 0.000 0.500
Te1 Te 0.250 0.250 0.250
# Formation energy from raw total energies   -1.98 eV per formula unit
# Magnetic moment   0.48 μB/f.u.